VASP calculation (GGA-PBE) on crystalline KCa3B at its relaxed geometry.

The spin magnetization is 0.972 μB/cell. For the energy above the most stable polymorph in this dataset, the calculation gives 752 kJ/mol of formula units. The formation energy comes out at 1.857 eV per atom.

It has space group Pm-3m (No. 221), with a = 6.423 Å, b = 6.423 Å, c = 6.423 Å, α = 90.00°, β = 90.00° and γ = 90.00°. The distinct sites, in fractional coordinates, are K at (0.000, 0.000, 0.000), Ca at (0.000, 0.000, 0.500) and B at (0.500, 0.500, 0.500).


VASP calculation (GGA-PBE) on crystalline Na2AlTlO4 at its relaxed geometry.

The spin magnetization is 0.000 μB/cell. Its calculated total energy is -5.338 eV per atom.

It has space group I-4 (No. 82), with a = 5.230 Å, b = 5.230 Å, c = 8.743 Å, α = 90.00°, β = 90.00° and γ = 90.00°. The distinct sites, in fractional coordinates, are Na at (0.000, 0.000, 0.000), Na at (0.000, 0.500, 0.250), Al at (0.000, 0.500, 0.750), Tl at (0.000, 0.000, 0.500) and O at (0.194, 0.715, 0.640).